[1]
The following is a GGA-PBE calculation of PuTl2Zn after structural relaxation, from the Alexandria database.

Summary:
E_form: 0.148 eV per atom
Symmetry: R3m
DOS at the Fermi energy: 8.6 states/eV per cell
DFT total energy: -19.7 eV/cell
Calculated density: 11.70 g/cm3

a = 10.314 Å, b = 10.314 Å, c = 10.314 Å
α = 19.03°, β = 19.03°, γ = 19.03°
Atoms (fractional coordinates):
Pu1 0.000 0.000 0.000
Tl1 0.574 0.574 0.574
Tl2 0.758 0.758 0.758
Zn1 0.166 0.166 0.166


[2]
The following is a GGA-PBE calculation of LaNbGa2 after structural relaxation, from the Alexandria database.

Summary:
E_form: -0.132 eV per atom
E above lowest polymorph: 0.04 eV/f.u.
Symmetry: Fm-3m
DOS at the Fermi energy: 3.0 states/eV per cell
DFT total energy: -21.6 eV/cell
Calculated density: 7.14 g/cm3

a = 4.962 Å, b = 4.962 Å, c = 4.962 Å
α = 60.00°, β = 60.00°, γ = 60.00°
Atoms (fractional coordinates):
La1 0.000 0.000 0.000
Nb1 0.500 0.500 0.500
Ga1 0.250 0.250 0.250
Ga2 0.750 0.750 0.750


[3]
The following is a GGA-PBE calculation of Rb2Os2Cl after structural relaxation, from the Alexandria database.

Summary:
Formation energy (no corrections): 975 meV per atom
E above lowest polymorph: 4.78 eV/f.u.
Symmetry: P4/mbm
DOS at the Fermi energy: 9.2 states/eV per cell
DFT total energy: -42.7 eV/cell
Calculated density: 6.21 g/cm3

a = 10.516 Å, b = 10.516 Å, c = 2.837 Å
α = 90.00°, β = 90.00°, γ = 90.00°
Atoms (fractional coordinates):
Rb1 0.203 0.297 0.000
Rb2 0.297 0.797 0.000
Rb3 0.703 0.203 0.000
Rb4 0.797 0.703 0.000
Os1 0.074 0.574 0.500
Os2 0.426 0.074 0.500
Os3 0.574 0.926 0.500
Os4 0.926 0.426 0.500
Cl1 0.000 0.000 0.000
Cl2 0.500 0.500 0.000


[4]
The following is a GGA-PBE calculation of GdZrPtAu after structural relaxation, from the Alexandria database.

Summary:
E_form: -0.758 eV per atom
Symmetry: F-43m
DOS at the Fermi energy: 3.5 states/eV per cell
DFT total energy: -35.0 eV/cell
Calculated density: 12.56 g/cm3

a = 4.929 Å, b = 4.929 Å, c = 4.929 Å
α = 60.00°, β = 60.00°, γ = 60.00°
Atoms (fractional coordinates):
Gd1 0.000 0.000 0.000
Zr1 0.500 0.500 0.500
Pt1 0.750 0.750 0.750
Au1 0.250 0.250 0.250


[5]
The following is a GGA-PBE calculation of CsAlRe3 after structural relaxation, from the Alexandria database.

Summary:
E_form: 4.054 eV per atom
E above lowest polymorph: 8.10 eV/f.u.
Symmetry: Pm-3m
DOS at the Fermi energy: 6.4 states/eV per cell
DFT total energy: -21.7 eV/cell
Calculated density: 9.97 g/cm3

a = 4.928 Å, b = 4.928 Å, c = 4.928 Å
α = 90.00°, β = 90.00°, γ = 90.00°
Atoms (fractional coordinates):
Cs1 0.000 0.000 0.000
Al1 0.500 0.500 0.500
Re1 0.000 0.000 0.500
Re2 0.000 0.500 0.000
Re3 0.500 0.000 0.000